--- one ---
Computed, not measured: CuTe2Ru after structural relaxation at the PBE level of DFT.

The structure belongs to space group I-42d (No. 122); the cell edges are 5.947, 5.947 and 11.741 Å and the angles 90.00°, 90.00° and 90.00°. Symmetry generates all atoms from Cu at (0.000, 0.000, 0.000), Te at (0.246, 0.250, 0.625) and Ru at (0.000, 0.000, 0.500).

As for the total magnetization: 0.0 μB/cell. The calculation puts the density of states at the Fermi level at 0.941 states/eV/atom.

***

--- two ---
Computed, not measured: CuTe2Ru after structural relaxation at the PBE level of DFT.

The structure belongs to space group Pmm2 (No. 25); the cell edges are 3.226, 3.603 and 7.450 Å and the angles 90.00°, 90.00° and 90.00°. Symmetry generates all atoms from Cu at (0.000, 0.000, 0.000), Te at (0.000, 0.000, 0.365), Te at (0.500, 0.500, 0.827) and Ru at (0.500, 0.500, 0.190).

As for the total magnetization: 0.0 μB/cell. The calculation puts the density of states at the Fermi level at 0.754 states/eV/atom.

***

--- three ---
Computed, not measured: CuTe2Ru after structural relaxation at the PBE level of DFT.

The structure belongs to space group Imm2 (No. 44); the cell edges are 3.218, 3.984 and 12.964 Å and the angles 90.00°, 90.00° and 90.00°. Symmetry generates all atoms from Cu at (0.000, 0.000, 0.000), Te at (0.000, 0.000, 0.388), Te at (0.000, 0.500, 0.147) and Ru at (0.000, 0.500, 0.720).

As for the total magnetization: 0.0 μB/cell. The calculation puts the density of states at the Fermi level at 0.838 states/eV/atom.

***

The winner here is two, beating the second structure by 57 meV/atom.

***

--- one ---
Computed, not measured: CuTe2Ru after structural relaxation at the PBE level of DFT.

The structure belongs to space group Cm (No. 8); the cell edges are 7.789, 3.635 and 6.829 Å and the angles 90.00°, 110.35° and 90.00°. Symmetry generates all atoms from Cu at (0.000, 0.000, 0.000), Te at (0.014, 0.500, 0.377), Te at (0.244, 0.000, 0.848) and Ru at (0.263, 0.500, 0.174).

As for the total magnetization: 0.0 μB/cell. The calculation puts the density of states at the Fermi level at 0.867 states/eV/atom.

***

--- two ---
Computed, not measured: CuTe2Ru after structural relaxation at the PBE level of DFT.

The structure belongs to space group P2/m (No. 10); the cell edges are 3.328, 3.278 and 7.220 Å and the angles 90.00°, 96.60° and 90.00°. Symmetry generates all atoms from Cu at (0.000, 0.000, 0.000), Te at (0.416, 0.500, 0.266) and Ru at (0.000, 0.000, 0.500).

As for the total magnetization: 0.1 μB/cell. The calculation puts the density of states at the Fermi level at 0.817 states/eV/atom.

***

The winner here is one, beating the second structure by 205 meV/atom.

***

--- one ---
Computed, not measured: CuTe2Ru after structural relaxation at the PBE level of DFT.

The structure belongs to space group I-4m2 (No. 119); the cell edges are 3.968, 3.968 and 9.884 Å and the angles 90.00°, 90.00° and 90.00°. Symmetry generates all atoms from Cu at (0.000, 0.000, 0.000), Te at (0.000, 0.000, 0.500), Te at (0.000, 0.500, 0.250) and Ru at (0.000, 0.500, 0.750).

As for the total magnetization: 0.0 μB/cell. The calculation puts the density of states at the Fermi level at 0.920 states/eV/atom.

***

--- two ---
Computed, not measured: CuTe2Ru after structural relaxation at the PBE level of DFT.

The structure belongs to space group R-3m (No. 166, hexagonal axes); the cell edges are 3.3846, 3.3846 and 26.2124 Å and the angles 90.00°, 90.00° and 120.00°. Symmetry generates all atoms from Cu at (0.0000, 0.0000, 0.0000), Te at (0.0000, 0.0000, 0.4037) and Ru at (0.0000, 0.0000, 0.5000).

As for the total magnetization: 0.0 μB/cell. The calculation puts the density of states at the Fermi level at 0.986 states/eV/atom.

***

The winner here is one, beating the second structure by 81 meV/atom.

***

--- one ---
Computed, not measured: ThCuRu2 after structural relaxation at the PBE level of DFT.

The structure belongs to space group P4/mmm (No. 123); the cell edges are 4.184, 4.184 and 3.950 Å and the angles 90.00°, 90.00° and 90.00°. Symmetry generates all atoms from Th at (0.000, 0.000, 0.000), Cu at (0.500, 0.500, 0.000) and Ru at (0.000, 0.500, 0.500).

As for the total magnetization: 0.0 μB/cell. The calculation puts the density of states at the Fermi level at 1.239 states/eV/atom.

***

--- two ---
Computed, not measured: ThCuRu2 after structural relaxation at the PBE level of DFT.

The structure belongs to space group Fm-3m (No. 225); the cell edges are 6.515, 6.515 and 6.515 Å and the angles 90.00°, 90.00° and 90.00°. Symmetry generates all atoms from Th at (0.000, 0.000, 0.000), Cu at (0.000, 0.000, 0.500) and Ru at (0.250, 0.250, 0.250).

As for the total magnetization: 0.0 μB/cell. The calculation puts the density of states at the Fermi level at 1.303 states/eV/atom.

***

The winner here is one, beating the second structure by 78 meV/atom.

***

--- one ---
Computed, not measured: Ti2CuRu2 after structural relaxation at the PBE level of DFT.

The structure belongs to space group P4/mbm (No. 127); the cell edges are 7.062, 7.062 and 3.056 Å and the angles 90.00°, 90.00° and 90.00°. Symmetry generates all atoms from Ti at (0.158, 0.342, 0.000), Cu at (0.000, 0.000, 0.500) and Ru at (0.143, 0.643, 0.500).

As for the total magnetization: 0.0 μB/cell. The calculation puts the density of states at the Fermi level at 0.807 states/eV/atom.

***

--- two ---
Computed, not measured: Ti2CuRu2 after structural relaxation at the PBE level of DFT.

The structure belongs to space group I4/mmm (No. 139); the cell edges are 3.845, 3.845 and 11.863 Å and the angles 90.00°, 90.00° and 90.00°. Symmetry generates all atoms from Ti at (0.000, 0.000, 0.120), Cu at (0.000, 0.000, 0.500) and Ru at (0.000, 0.500, 0.250).

As for the total magnetization: 0.0 μB/cell. The calculation puts the density of states at the Fermi level at 1.018 states/eV/atom.

***

The winner here is one, beating the second structure by 546 meV/atom.

***

--- one ---
Computed, not measured: TiZnCuRu2 after structural relaxation at the PBE level of DFT.

The structure belongs to space group P4/mmm (No. 123); the cell edges are 4.457, 4.457 and 4.791 Å and the angles 90.00°, 90.00° and 90.00°. Symmetry generates all atoms from Ti at (0.000, 0.000, 0.000), Zn at (0.000, 0.000, 0.500), Cu at (0.500, 0.500, 0.500) and Ru at (0.000, 0.500, 0.000).

As for the total magnetization: 0.9 μB/cell. The calculation puts the density of states at the Fermi level at 0.976 states/eV/atom.

***

--- two ---
Computed, not measured: TiZnCuRu2 after structural relaxation at the PBE level of DFT.

The structure belongs to space group P4/mmm (No. 123); the cell edges are 4.486, 4.486 and 4.548 Å and the angles 90.00°, 90.00° and 90.00°. Symmetry generates all atoms from Ti at (0.000, 0.000, 0.000), Zn at (0.500, 0.500, 0.500), Cu at (0.000, 0.000, 0.500) and Ru at (0.000, 0.500, 0.000).

As for the total magnetization: 0.7 μB/cell. The calculation puts the density of states at the Fermi level at 0.754 states/eV/atom.

***

The winner here is two, beating the second structure by 132 meV/atom.